Ba2Na2Au3 | PBE | relaxed

```
14
Lattice="8.529 -2.343 0.000 8.529 2.343 0.000 -7.709 0.000 11.507" Properties=species:S:1:pos:R:3 pbc="T T T"
Ba -1.625 0.000 5.240
Ba -2.443 0.000 9.426
Ba 11.792 0.000 2.080
Ba 10.974 0.000 6.267
Na 0.151 0.000 1.669
Na 6.319 0.000 1.902
Na 3.030 0.000 9.605
Na 9.197 0.000 9.838
Au -5.150 0.000 11.378
Au 0.549 0.000 7.816
Au 4.399 0.000 4.356
Au 4.950 0.000 7.150
Au 8.800 0.000 3.691
Au 14.499 0.000 0.128
```

Values from the calculation:
The space group is No. 12. The formation energy is -0.4845 eV per atom. The volume is 32.9 Å³/atom. As for the size of the total moment: 0.000 μB per formula unit.

---

LaI3F | PBE | relaxed

```
5
Lattice="6.269 0.000 0.000 0.000 6.269 0.000 0.000 0.000 6.269" Properties=species:S:1:pos:R:3 pbc="T T T"
La 0.000 0.000 0.000
I 0.000 0.000 3.135
I 0.000 3.135 0.000
I 3.135 0.000 0.000
F 3.135 3.135 3.135
```

Values from the calculation:
The space group is No. 221. As for the uncorrected formation energy: -497 kJ/mol of formula units. The distance to the lowest polymorph of the same formula comes out at 0 meV per atom. The volume is 49.3 Å³/atom. As for the size of the total moment: 0.998 μB per formula unit.

---

TiFePd2 | PBE | relaxed

```
16
Lattice="3.700 0.000 0.000 0.000 3.700 0.000 0.000 0.000 17.832" Properties=species:S:1:pos:R:3 pbc="T T T"
Ti 0.000 0.000 0.000
Ti 0.000 1.850 4.458
Ti 1.850 0.000 13.374
Ti 1.850 1.850 8.916
Fe 0.000 0.000 8.916
Fe 0.000 1.850 13.374
Fe 1.850 0.000 4.458
Fe 1.850 1.850 0.000
Pd 0.902 0.925 11.145
Pd 0.925 2.752 15.603
Pd 0.925 2.799 6.687
Pd 0.948 0.925 2.229
Pd 2.752 2.775 2.229
Pd 2.775 0.902 6.687
Pd 2.775 0.948 15.603
Pd 2.799 2.775 11.145
```

Values from the calculation:
The space group is No. 122. The formation energy is 0.1301 eV per atom. The volume is 15.3 Å³/atom. As for the size of the total moment: 0.000 μB per formula unit.